w) Tb2SiAs | PBE | optimized geometry

abc: 3.9181 3.9181 27.4404
angles: 90.00 90.00 120.00
Space group R-3m (No. 166, hexagonal axes)
Asymmetric unit:
Tb1 0.0000 0.0000 0.1046 [6 per cell]
Si1 0.0000 0.0000 0.0000 [3 per cell]
As1 0.0000 0.0000 0.5000 [3 per cell]

Results
The spin magnetization is 0.00 μB per formula unit. As for the theoretical density: 5.75 g cm⁻³. For the density of states at the Fermi level, the calculation gives 9.7 states/eV/cell.

x) Tb2SiAs | PBE | optimized geometry

abc: 4.242 22.600 3.964
angles: 90.00 90.00 90.00
Space group Cmcm (No. 63)
Asymmetric unit:
Tb1 0.000 0.065 0.250 [4 per cell]
Tb2 0.000 0.315 0.250 [4 per cell]
Si1 0.000 0.464 0.250 [4 per cell]
As1 0.000 0.188 0.250 [4 per cell]

Results
The spin magnetization is 0.00 μB per formula unit. As for the theoretical density: 7.36 g cm⁻³. For the density of states at the Fermi level, the calculation gives 5.7 states/eV/cell.

It is w) that is the least stable of them.

w) SiTc2As | PBE | optimized geometry

abc: 2.9462 2.9462 23.1058
angles: 90.00 90.00 120.00
Space group R-3m (No. 166, hexagonal axes)
Asymmetric unit:
Si1 0.0000 0.0000 0.0000 [3 per cell]
Tc1 0.0000 0.0000 0.2509 [6 per cell]
As1 0.0000 0.0000 0.5000 [3 per cell]

Results
The spin magnetization is 0.00 μB per formula unit. As for the theoretical density: 8.58 g cm⁻³. For the density of states at the Fermi level, the calculation gives 12.7 states/eV/cell.

x) SiTc2As | PBE | optimized geometry

abc: 3.180 3.224 11.773
angles: 90.00 90.00 90.00
Space group Imm2 (No. 44)
Asymmetric unit:
Si1 0.000 0.000 0.000 [2 per cell]
Tc1 0.000 0.000 0.583 [2 per cell]
Tc2 0.000 0.500 0.840 [2 per cell]
As1 0.000 0.500 0.248 [2 per cell]

Results
The spin magnetization is 0.00 μB per formula unit. As for the theoretical density: 8.23 g cm⁻³. For the density of states at the Fermi level, the calculation gives 4.1 states/eV/cell.

It is w) that is the least stable of them.

w) SiTc2As | PBE | optimized geometry

abc: 3.053 4.961 7.854
angles: 90.00 90.00 90.00
Space group Cmmm (No. 65)
Asymmetric unit:
Si1 0.000 0.000 0.000 [2 per cell]
Tc1 0.000 0.500 0.241 [4 per cell]
As1 0.000 0.000 0.500 [2 per cell]

Results
The spin magnetization is 0.00 μB per formula unit. As for the theoretical density: 8.35 g cm⁻³. For the density of states at the Fermi level, the calculation gives 5.8 states/eV/cell.

x) SiTc2As | PBE | optimized geometry

abc: 3.572 3.572 10.393
angles: 90.00 90.00 90.00
Space group I4/mmm (No. 139)
Asymmetric unit:
Si1 0.000 0.000 0.000 [2 per cell]
Tc1 0.000 0.000 0.249 [4 per cell]
As1 0.000 0.000 0.500 [2 per cell]

Results
The spin magnetization is 0.00 μB per formula unit. As for the theoretical density: 7.49 g cm⁻³. For the density of states at the Fermi level, the calculation gives 4.9 states/eV/cell.

y) SiTc2As | PBE | optimized geometry

abc: 2.9813 2.9813 23.3354
angles: 90.00 90.00 120.00
Space group R3m (No. 160, hexagonal axes)
Asymmetric unit:
Si1 0.0000 0.0000 0.0000 [3 per cell]
Tc1 0.0000 0.0000 0.4992 [3 per cell]
Tc2 0.0000 0.0000 0.7421 [3 per cell]
As1 0.0000 0.0000 0.2456 [3 per cell]

Results
The spin magnetization is 0.00 μB per formula unit. As for the theoretical density: 8.29 g cm⁻³. For the density of states at the Fermi level, the calculation gives 8.4 states/eV/cell.

z) SiTc2As | PBE | optimized geometry

abc: 3.185 3.185 5.667
angles: 90.00 90.00 90.00
Space group P4mm (No. 99)
Asymmetric unit:
Si1 0.000 0.000 0.000 [1 per cell]
Tc1 0.000 0.000 0.523 [1 per cell]
Tc2 0.500 0.500 0.173 [1 per cell]
As1 0.500 0.500 0.719 [1 per cell]

Results
The spin magnetization is 0.00 μB per formula unit. As for the theoretical density: 8.64 g cm⁻³. For the density of states at the Fermi level, the calculation gives 2.9 states/eV/cell.

It is x) that is the least stable of them.

w) SiTc2As | PBE | optimized geometry

abc: 3.034 4.959 7.902
angles: 90.00 90.00 90.00
Space group Immm (No. 71)
Asymmetric unit:
Si1 0.000 0.000 0.000 [2 per cell]
Tc1 0.000 0.500 0.261 [4 per cell]
As1 0.000 0.000 0.500 [2 per cell]

Results
The spin magnetization is 0.00 μB per formula unit. As for the theoretical density: 8.35 g cm⁻³. For the density of states at the Fermi level, the calculation gives 6.3 states/eV/cell.

x) SiTc2As | PBE | optimized geometry

abc: 3.866 3.866 7.771
angles: 90.00 90.00 90.00
Space group I-4m2 (No. 119)
Asymmetric unit:
Si1 0.000 0.000 0.000 [2 per cell]
Tc1 0.000 0.000 0.500 [2 per cell]
Tc2 0.000 0.500 0.750 [2 per cell]
As1 0.000 0.500 0.250 [2 per cell]

Results
The spin magnetization is 0.00 μB per formula unit. As for the theoretical density: 8.55 g cm⁻³. For the density of states at the Fermi level, the calculation gives 7.2 states/eV/cell.

It is x) that is the least stable of them.

w) SiTc2As | PBE | optimized geometry

abc: 2.986 4.476 4.285
angles: 90.00 90.00 90.00
Space group Pmm2 (No. 25)
Asymmetric unit:
Si1 0.000 0.000 0.000 [1 per cell]
Tc1 0.000 0.500 0.714 [1 per cell]
Tc2 0.500 0.000 0.497 [1 per cell]
As1 0.500 0.500 0.197 [1 per cell]

Results
The spin magnetization is 0.00 μB per formula unit. As for the theoretical density: 8.67 g cm⁻³. For the density of states at the Fermi level, the calculation gives 2.6 states/eV/cell.

x) SiTc2As | PBE | optimized geometry

abc: 3.022 3.022 6.065
angles: 90.00 90.00 90.00
Space group P4/mmm (No. 123)
Asymmetric unit:
Si1 0.000 0.000 0.000 [1 per cell]
Tc1 0.500 0.500 0.243 [2 per cell]
As1 0.000 0.000 0.500 [1 per cell]

Results
The spin magnetization is 0.00 μB per formula unit. As for the theoretical density: 8.97 g cm⁻³. For the density of states at the Fermi level, the calculation gives 2.9 states/eV/cell.

It is w) that is the least stable of them.

w) SiTc2As | PBE | optimized geometry

abc: 6.046 6.046 6.046
angles: 90.00 90.00 90.00
Space group Fm-3m (No. 225)
Asymmetric unit:
Si1 0.000 0.000 0.000 [4 per cell]
Tc1 0.250 0.250 0.250 [8 per cell]
As1 0.000 0.000 0.500 [4 per cell]

Results
The spin magnetization is 0.00 μB per formula unit. As for the theoretical density: 8.99 g cm⁻³. For the density of states at the Fermi level, the calculation gives 7.9 states/eV/cell.

x) SiTc2As | PBE | optimized geometry

abc: 2.865 2.865 7.734
angles: 90.00 90.00 90.00
Space group P4mm (No. 99)
Asymmetric unit:
Si1 0.000 0.000 0.000 [1 per cell]
Tc1 0.000 0.000 0.432 [1 per cell]
Tc2 0.500 0.500 0.211 [1 per cell]
As1 0.500 0.500 0.661 [1 per cell]

Results
The spin magnetization is 0.00 μB per formula unit. As for the theoretical density: 7.82 g cm⁻³. For the density of states at the Fermi level, the calculation gives 2.6 states/eV/cell.

It is x) that is the least stable of them.